DFT (PBE) results for crystalline Cd2Ni6C at its relaxed geometry.

a b c (Å): 5.350 5.350 5.350
angles (deg): 60.00 60.00 60.00
Atoms (fractional coordinates):
1 Cd 0.250 0.250 0.250
2 Cd 0.750 0.750 0.750
3 Ni 0.254 0.746 0.746
4 Ni 0.254 0.746 0.254
5 Ni 0.746 0.254 0.746
6 Ni 0.746 0.254 0.254
7 Ni 0.746 0.746 0.254
8 Ni 0.254 0.254 0.746
9 C 0.000 0.000 0.000

Results
Total magnetization, μB per formula unit: 0.00
Formation energy from the elements, eV per formula unit: 0.0
Space group: No. 225
N(E_F), states/eV per cell: 2.312

DFT (PBE) results for crystalline RbZn2AsIr at its relaxed geometry.

a b c (Å): 5.013 5.013 4.797
angles (deg): 90.00 90.00 90.00
Atoms (fractional coordinates):
1 As 0.000 0.000 0.500
2 Ir 0.000 0.000 0.000
3 Zn 0.000 0.500 0.000
4 Zn 0.500 0.000 0.000
5 Rb 0.500 0.500 0.500

Results
Total magnetization, μB per formula unit: 0.00
Formation energy from the elements, eV per formula unit: -0.5
Space group: No. 123
N(E_F), states/eV per cell: 3.564

DFT (PBE) results for crystalline BaSr2YRh at its relaxed geometry.

a b c (Å): 6.087 6.087 5.464
angles (deg): 90.00 90.00 90.00
Atoms (fractional coordinates):
1 Y 0.000 0.000 0.500
2 Sr 0.000 0.500 0.000
3 Sr 0.500 0.000 0.000
4 Rh 0.000 0.000 0.000
5 Ba 0.500 0.500 0.500

Results
Total magnetization, μB per formula unit: 0.00
Formation energy from the elements, eV per formula unit: -0.9
Space group: No. 123
N(E_F), states/eV per cell: 3.964

DFT (PBE) results for crystalline Cr2CoAg at its relaxed geometry.

a b c (Å): 2.585 2.585 8.456
angles (deg): 90.00 90.00 111.29
Atoms (fractional coordinates):
1 Ag 0.000 0.000 0.502
2 Co 0.500 0.500 0.776
3 Cr 0.000 0.000 0.004
4 Cr 0.500 0.500 0.218

Results
Total magnetization, μB per formula unit: 1.52
Formation energy from the elements, eV per formula unit: 1.4
Space group: No. 35
Polymorph energy (0 for the lowest one), meV per atom: 7
N(E_F), states/eV per cell: 4.303

DFT (PBE) results for crystalline ZrHg2Br at its relaxed geometry.

a b c (Å): 5.194 5.194 5.194
angles (deg): 60.00 60.00 60.00
Atoms (fractional coordinates):
1 Br 0.000 0.000 0.000
2 Hg 0.250 0.250 0.250
3 Hg 0.750 0.750 0.750
4 Zr 0.500 0.500 0.500

Results
Energy relative to the elements, uncorrected, meV per atom: 331
Total magnetization, μB per formula unit: 0.00
Space group: No. 225
Polymorph energy (0 for the lowest one), meV per atom: 717
N(E_F), states/eV per cell: 4.389

DFT (PBE) results for crystalline NaPrTa4N8 at its relaxed geometry.

a b c (Å): 6.363 6.363 6.573
angles (deg): 61.05 61.05 60.00
Atoms (fractional coordinates):
1 Na 0.996 0.996 0.012
2 Pr 0.375 0.375 0.875
3 Ta 0.622 0.622 0.135
4 Ta 0.003 0.484 0.510
5 Ta 0.484 0.003 0.510
6 Ta 0.003 0.003 0.510
7 N 0.248 0.809 0.694
8 N 0.809 0.248 0.694
9 N 0.248 0.248 0.694
10 N 0.233 0.233 0.302
11 N 0.735 0.251 0.280
12 N 0.251 0.735 0.280
13 N 0.735 0.735 0.280
14 N 0.759 0.759 0.724

Results
Energy relative to the elements, uncorrected, meV per atom: -914
Total magnetization, μB per formula unit: 0.00
Space group: No. 160

DFT (PBE) results for crystalline U6Ag3Se14 at its relaxed geometry.

a b c (Å): 6.032 10.157 10.157
angles (deg): 120.00 90.00 90.00
Atoms (fractional coordinates):
1 U 0.238 0.817 0.110
2 U 0.238 0.890 0.707
3 U 0.238 0.293 0.183
4 U 0.734 0.515 0.557
5 U 0.734 0.443 0.959
6 U 0.734 0.041 0.485
7 Ag 0.863 0.000 0.000
8 Ag 0.360 0.333 0.667
9 Ag 0.500 0.667 0.333
10 Se 0.008 0.111 0.274
11 Se 0.008 0.726 0.837
12 Se 0.008 0.163 0.889
13 Se 0.507 0.223 0.393
14 Se 0.507 0.607 0.830
15 Se 0.507 0.170 0.777
16 Se 0.437 0.000 0.000
17 Se 0.935 0.333 0.667
18 Se 0.717 0.783 0.181
19 Se 0.717 0.819 0.603
20 Se 0.717 0.397 0.217
21 Se 0.212 0.556 0.482
22 Se 0.212 0.518 0.074
23 Se 0.212 0.926 0.444

Results
Energy relative to the elements, uncorrected, meV per atom: -869
Total magnetization, μB per formula unit: 10.99
Space group: No. 143
N(E_F), states/eV per cell: 45.459

DFT (PBE) results for crystalline LiAuBr2 at its relaxed geometry.

a b c (Å): 3.949 3.949 6.102
angles (deg): 90.00 90.00 90.00
Atoms (fractional coordinates):
1 Au 0.500 0.500 0.875
2 Br 0.000 0.000 0.855
3 Br 0.500 0.500 0.363
4 Li 0.000 0.000 0.407

Results
Energy relative to the elements, uncorrected, meV per atom: -641
Total magnetization, μB per formula unit: 0.00
Space group: No. 99
Polymorph energy (0 for the lowest one), meV per atom: 141
N(E_F), states/eV per cell: 0.755

DFT (PBE) results for crystalline AsPPdS2 at its relaxed geometry.

a b c (Å): 4.720 4.720 4.576
angles (deg): 90.00 90.00 90.00
Atoms (fractional coordinates):
1 P 0.000 0.000 0.500
2 As 0.500 0.500 0.500
3 S 0.000 0.500 0.000
4 S 0.500 0.000 0.000
5 Pd 0.000 0.000 0.000

Results
Energy relative to the elements, uncorrected, meV per atom: 767
Total magnetization, μB per formula unit: 0.00
Space group: No. 123
Polymorph energy (0 for the lowest one), meV per atom: 0
N(E_F), states/eV per cell: 4.528

DFT (PBE) results for crystalline PuMgMn at its relaxed geometry.

a b c (Å): 3.182 3.182 6.428
angles (deg): 104.33 104.33 90.00
Atoms (fractional coordinates):
1 Mg 0.023 0.023 0.046
2 Mn 0.670 0.670 0.339
3 Pu 0.307 0.307 0.615

Results
Total magnetization, μB per formula unit: 2.64
Formation energy from the elements, eV per formula unit: 0.4
Space group: No. 107
N(E_F), states/eV per cell: 4.704

DFT (PBE) results for crystalline PrSn2 at its relaxed geometry.

a b c (Å): 4.472 4.472 4.993
angles (deg): 106.66 106.66 91.38
Atoms (fractional coordinates):
1 Pr 0.500 0.500 0.000
2 Sn 0.133 0.133 0.313
3 Sn 0.867 0.867 0.687

Results
Total magnetization, μB per formula unit: 0.00
Formation energy from the elements, eV per formula unit: -1.3
Space group: No. 12
N(E_F), states/eV per cell: 2.379

DFT (PBE) results for crystalline Pr2Tm2Sc7 at its relaxed geometry.

a b c (Å): 8.963 6.252 6.252
angles (deg): 118.67 92.97 92.97
Atoms (fractional coordinates):
1 Pr 0.784 0.387 0.387
2 Pr 0.216 0.613 0.613
3 Tm 0.500 0.294 0.706
4 Tm 0.500 0.706 0.294
5 Sc 0.167 0.040 0.491
6 Sc 0.833 0.509 0.960
7 Sc 0.833 0.960 0.509
8 Sc 0.167 0.491 0.040
9 Sc 0.000 0.000 0.000
10 Sc 0.636 0.874 0.874
11 Sc 0.364 0.126 0.126

Results
Total magnetization, μB per formula unit: 0.00
Formation energy from the elements, eV per formula unit: 1.6
Space group: No. 12
N(E_F), states/eV per cell: 19.889

DFT (PBE) results for crystalline KLaBr2 at its relaxed geometry.

a b c (Å): 11.012 11.012 11.012
angles (deg): 21.20 21.20 21.20
Atoms (fractional coordinates):
1 K 0.000 0.000 0.000
2 Br 0.897 0.897 0.897
3 Br 0.103 0.103 0.103
4 La 0.500 0.500 0.500

Results
Energy relative to the elements, uncorrected, meV per atom: -1311
Total magnetization, μB per formula unit: 0.00
Space group: No. 166
Polymorph energy (0 for the lowest one), meV per atom: 118
N(E_F), states/eV per cell: 4.357